(i)
Below is a geometry-optimized CsSN2F structure, with properties calculated at the GGA-PBE level. Values from VASP.

Cell and atoms, written as Quantum ESPRESSO input:
```
&SYSTEM
  ibrav = 0, nat = 5, ntyp = 4
/
ATOMIC_SPECIES
Cs 132.91 Cs.upf
S 32.06 S.upf
N 14.01 N.upf
F 19.00 F.upf
CELL_PARAMETERS angstrom
3.652 0.000 0.000
0.000 3.652 0.000
0.000 0.000 6.724
ATOMIC_POSITIONS angstrom
Cs 0.000 0.000 0.000
S 1.826 1.826 3.362
N 0.000 1.826 3.362
N 1.826 0.000 3.362
F 1.826 1.826 0.000
```

***

(ii)
Below is a geometry-optimized CsSN2F structure, with properties calculated at the GGA-PBE level. Values from VASP.

Cell and atoms, written as Quantum ESPRESSO input:
```
&SYSTEM
  ibrav = 0, nat = 5, ntyp = 4
/
ATOMIC_SPECIES
Cs 132.91 Cs.upf
S 32.06 S.upf
N 14.01 N.upf
F 19.00 F.upf
CELL_PARAMETERS angstrom
4.546 0.000 0.000
0.000 4.546 0.000
0.000 0.000 4.646
ATOMIC_POSITIONS angstrom
Cs 0.000 0.000 0.000
S 2.273 2.273 2.323
N 0.000 2.273 0.000
N 2.273 0.000 0.000
F 0.000 0.000 2.323
```

***

Of them, (i) has the highest stability.

***

(i)
Below is a geometry-optimized CsSbNF2 structure, with properties calculated at the GGA-PBE level. Values from VASP.

Cell and atoms, written as Quantum ESPRESSO input:
```
&SYSTEM
  ibrav = 0, nat = 5, ntyp = 4
/
ATOMIC_SPECIES
Cs 132.91 Cs.upf
Sb 121.76 Sb.upf
N 14.01 N.upf
F 19.00 F.upf
CELL_PARAMETERS angstrom
4.836 0.000 0.000
0.000 4.836 0.000
0.000 0.000 4.042
ATOMIC_POSITIONS angstrom
Cs 0.000 0.000 0.000
Sb 2.418 2.418 2.021
N 2.418 2.418 0.000
F 0.000 2.418 2.021
F 2.418 0.000 2.021
```

***

(ii)
Below is a geometry-optimized CsSbNF2 structure, with properties calculated at the GGA-PBE level. Values from VASP.

Cell and atoms, written as Quantum ESPRESSO input:
```
&SYSTEM
  ibrav = 0, nat = 5, ntyp = 4
/
ATOMIC_SPECIES
Cs 132.91 Cs.upf
Sb 121.76 Sb.upf
N 14.01 N.upf
F 19.00 F.upf
CELL_PARAMETERS angstrom
5.179 0.000 0.000
0.000 5.179 0.000
0.000 0.000 4.801
ATOMIC_POSITIONS angstrom
Cs 0.000 0.000 0.000
Sb 2.589 2.589 2.401
N 0.000 0.000 2.401
F 0.000 2.589 0.000
F 2.589 0.000 0.000
```

***

Of them, (i) has the highest stability.

***

(i)
Below is a geometry-optimized CsSbN2F structure, with properties calculated at the GGA-PBE level. Values from VASP.

Cell and atoms, written as Quantum ESPRESSO input:
```
&SYSTEM
  ibrav = 0, nat = 5, ntyp = 4
/
ATOMIC_SPECIES
Cs 132.91 Cs.upf
Sb 121.76 Sb.upf
N 14.01 N.upf
F 19.00 F.upf
CELL_PARAMETERS angstrom
4.126 0.000 0.000
0.000 4.126 0.000
0.000 0.000 5.179
ATOMIC_POSITIONS angstrom
Cs 0.000 0.000 0.000
Sb 2.063 2.063 2.589
N 0.000 2.063 2.589
N 2.063 0.000 2.589
F 2.063 2.063 0.000
```

***

(ii)
Below is a geometry-optimized CsSbN2F structure, with properties calculated at the GGA-PBE level. Values from VASP.

Cell and atoms, written as Quantum ESPRESSO input:
```
&SYSTEM
  ibrav = 0, nat = 5, ntyp = 4
/
ATOMIC_SPECIES
Cs 132.91 Cs.upf
Sb 121.76 Sb.upf
N 14.01 N.upf
F 19.00 F.upf
CELL_PARAMETERS angstrom
4.454 0.000 0.000
0.000 4.454 0.000
0.000 0.000 4.902
ATOMIC_POSITIONS angstrom
Cs 0.000 0.000 0.000
Sb 2.227 2.227 2.451
N 0.000 2.227 0.000
N 2.227 0.000 0.000
F 0.000 0.000 2.451
```

***

Of them, (i) has the highest stability.

***

(i)
Below is a geometry-optimized CsScN2F structure, with properties calculated at the GGA-PBE level. Values from VASP.

Cell and atoms, written as Quantum ESPRESSO input:
```
&SYSTEM
  ibrav = 0, nat = 5, ntyp = 4
/
ATOMIC_SPECIES
Cs 132.91 Cs.upf
Sc 44.96 Sc.upf
N 14.01 N.upf
F 19.00 F.upf
CELL_PARAMETERS angstrom
4.470 0.000 0.000
0.000 4.470 0.000
0.000 0.000 4.397
ATOMIC_POSITIONS angstrom
Cs 0.000 0.000 0.000
Sc 2.235 2.235 2.199
N 0.000 2.235 2.199
N 2.235 0.000 2.199
F 2.235 2.235 0.000
```

***

(ii)
Below is a geometry-optimized CsScN2F structure, with properties calculated at the GGA-PBE level. Values from VASP.

Cell and atoms, written as Quantum ESPRESSO input:
```
&SYSTEM
  ibrav = 0, nat = 5, ntyp = 4
/
ATOMIC_SPECIES
Cs 132.91 Cs.upf
Sc 44.96 Sc.upf
N 14.01 N.upf
F 19.00 F.upf
CELL_PARAMETERS angstrom
4.418 0.000 0.000
0.000 4.418 0.000
0.000 0.000 4.804
ATOMIC_POSITIONS angstrom
Cs 0.000 0.000 0.000
Sc 2.209 2.209 2.402
N 0.000 2.209 0.000
N 2.209 0.000 0.000
F 0.000 0.000 2.402
```

***

Of them, (i) has the highest stability.

***

(i)
Below is a geometry-optimized CsSeNF2 structure, with properties calculated at the GGA-PBE level. Values from VASP.

Cell and atoms, written as Quantum ESPRESSO input:
```
&SYSTEM
  ibrav = 0, nat = 5, ntyp = 4
/
ATOMIC_SPECIES
Cs 132.91 Cs.upf
Se 78.96 Se.upf
N 14.01 N.upf
F 19.00 F.upf
CELL_PARAMETERS angstrom
5.390 0.000 0.000
0.000 5.390 0.000
0.000 0.000 5.029
ATOMIC_POSITIONS angstrom
Cs 0.000 0.000 0.000
Se 2.695 2.695 2.514
N 0.000 0.000 2.514
F 0.000 2.695 0.000
F 2.695 0.000 0.000
```

***

(ii)
Below is a geometry-optimized CsSeNF2 structure, with properties calculated at the GGA-PBE level. Values from VASP.

Cell and atoms, written as Quantum ESPRESSO input:
```
&SYSTEM
  ibrav = 0, nat = 5, ntyp = 4
/
ATOMIC_SPECIES
Cs 132.91 Cs.upf
Se 78.96 Se.upf
N 14.01 N.upf
F 19.00 F.upf
CELL_PARAMETERS angstrom
4.884 0.000 0.000
0.000 4.884 0.000
0.000 0.000 3.758
ATOMIC_POSITIONS angstrom
Cs 0.000 0.000 0.000
Se 2.442 2.442 1.879
N 2.442 2.442 0.000
F 0.000 2.442 1.879
F 2.442 0.000 1.879
```

***

Of them, (ii) has the highest stability.

***

(i)
Below is a geometry-optimized CsTaN2F structure, with properties calculated at the GGA-PBE level. Values from VASP.

Cell and atoms, written as Quantum ESPRESSO input:
```
&SYSTEM
  ibrav = 0, nat = 5, ntyp = 4
/
ATOMIC_SPECIES
Cs 132.91 Cs.upf
Ta 180.95 Ta.upf
N 14.01 N.upf
F 19.00 F.upf
CELL_PARAMETERS angstrom
4.137 0.000 0.000
0.000 4.137 0.000
0.000 0.000 4.619
ATOMIC_POSITIONS angstrom
Cs 0.000 0.000 0.000
Ta 2.069 2.069 2.309
N 0.000 2.069 2.309
N 2.069 0.000 2.309
F 2.069 2.069 0.000
```

***

(ii)
Below is a geometry-optimized CsTaN2F structure, with properties calculated at the GGA-PBE level. Values from VASP.

Cell and atoms, written as Quantum ESPRESSO input:
```
&SYSTEM
  ibrav = 0, nat = 5, ntyp = 4
/
ATOMIC_SPECIES
Cs 132.91 Cs.upf
Ta 180.95 Ta.upf
N 14.01 N.upf
F 19.00 F.upf
CELL_PARAMETERS angstrom
4.406 0.000 0.000
0.000 4.406 0.000
0.000 0.000 4.778
ATOMIC_POSITIONS angstrom
Cs 0.000 0.000 0.000
Ta 2.203 2.203 2.389
N 0.000 2.203 0.000
N 2.203 0.000 0.000
F 0.000 0.000 2.389
```

***

Of them, (i) has the highest stability.

***

(i)
Below is a geometry-optimized CsTaNF2 structure, with properties calculated at the GGA-PBE level. Values from VASP.

Cell and atoms, written as Quantum ESPRESSO input:
```
&SYSTEM
  ibrav = 0, nat = 5, ntyp = 4
/
ATOMIC_SPECIES
Cs 132.91 Cs.upf
Ta 180.95 Ta.upf
N 14.01 N.upf
F 19.00 F.upf
CELL_PARAMETERS angstrom
4.509 0.000 0.000
0.000 4.509 0.000
0.000 0.000 4.032
ATOMIC_POSITIONS angstrom
Cs 0.000 0.000 0.000
Ta 2.254 2.254 2.016
N 2.254 2.254 0.000
F 0.000 2.254 2.016
F 2.254 0.000 2.016
```

***

(ii)
Below is a geometry-optimized CsTaNF2 structure, with properties calculated at the GGA-PBE level. Values from VASP.

Cell and atoms, written as Quantum ESPRESSO input:
```
&SYSTEM
  ibrav = 0, nat = 5, ntyp = 4
/
ATOMIC_SPECIES
Cs 132.91 Cs.upf
Ta 180.95 Ta.upf
N 14.01 N.upf
F 19.00 F.upf
CELL_PARAMETERS angstrom
5.022 0.000 0.000
0.000 5.022 0.000
0.000 0.000 4.455
ATOMIC_POSITIONS angstrom
Cs 0.000 0.000 0.000
Ta 2.511 2.511 2.227
N 0.000 0.000 2.227
F 0.000 2.511 0.000
F 2.511 0.000 0.000
```

***

Of them, (i) has the highest stability.

***

(i)
Below is a geometry-optimized CsTcN2F structure, with properties calculated at the GGA-PBE level. Values from VASP.

Cell and atoms, written as Quantum ESPRESSO input:
```
&SYSTEM
  ibrav = 0, nat = 5, ntyp = 4
/
ATOMIC_SPECIES
Cs 132.91 Cs.upf
Tc 98.00 Tc.upf
N 14.01 N.upf
F 19.00 F.upf
CELL_PARAMETERS angstrom
3.932 0.000 0.000
0.000 3.932 0.000
0.000 0.000 5.003
ATOMIC_POSITIONS angstrom
Cs 0.000 0.000 0.000
Tc 1.966 1.966 2.502
N 0.000 1.966 2.502
N 1.966 0.000 2.502
F 1.966 1.966 0.000
```

***

(ii)
Below is a geometry-optimized CsTcN2F structure, with properties calculated at the GGA-PBE level. Values from VASP.

Cell and atoms, written as Quantum ESPRESSO input:
```
&SYSTEM
  ibrav = 0, nat = 5, ntyp = 4
/
ATOMIC_SPECIES
Cs 132.91 Cs.upf
Tc 98.00 Tc.upf
N 14.01 N.upf
F 19.00 F.upf
CELL_PARAMETERS angstrom
4.408 0.000 0.000
0.000 4.408 0.000
0.000 0.000 4.925
ATOMIC_POSITIONS angstrom
Cs 0.000 0.000 0.000
Tc 2.204 2.204 2.462
N 0.000 2.204 0.000
N 2.204 0.000 0.000
F 0.000 0.000 2.462
```

***

Of them, (i) has the highest stability.